*one*
# HoMg4

A relaxed structure of HoMg4 (PBE, Alexandria).

N(E_F) in states/eV/f.u.: 6.1

Cell: 5.8985 5.8985 5.8985 Å, 90.00 90.00 90.00°
Closest atoms and distances in Å follow each position.
Space group Pm-3m (No. 221)
Asymmetric unit:
Ho  0.0000  0.0000  0.0000  6 Mg 2.95
Mg  0.0000  0.0000  0.5000  2 Ho 2.95
Mg  0.5000  0.5000  0.5000  12 Mg 4.17

*two*
# HoMg4

A relaxed structure of HoMg4 (PBE, Alexandria).

N(E_F) in states/eV/f.u.: 3.3

Cell: 10.0914 10.0914 10.0914 Å, 90.00 90.00 90.00°
Closest atoms and distances in Å follow each position.
Space group I-43m (No. 217)
Asymmetric unit:
Ho  0.2118  0.2118  0.2118  7 Mg 3.19-3.54
Mg  0.0000  0.0000  0.3485  7 Mg 2.88-3.06
Mg  0.0000  0.2500  0.5000  4 Mg 2.95
Mg  0.1060  0.1060  0.8940  6 Mg 2.88-3.02, 1 Ho 3.19

*three*
# HoMg4

A relaxed structure of HoMg4 (PBE, Alexandria).

N(E_F) in states/eV/f.u.: 2.8

Cell: 3.3866 5.1331 7.7792 Å, 70.83 77.46 89.93°
Closest atoms and distances in Å follow each position.
Space group P-1 (No. 2)
Asymmetric unit:
Ho  0.0000  0.0000  0.0000  2 Ho 3.39, 12 Mg 3.39-3.47
Mg  0.2869  0.7881  0.4237  8 Mg 3.01-3.27
Mg  0.4005  0.3990  0.2027  5 Mg 2.90-3.17

Which of them is most stable? Easy: *three*.

*one*
# Ho2Mg3

A relaxed structure of Ho2Mg3 (PBE, Alexandria).

N(E_F) in states/eV/f.u.: 4.7

Cell: 3.3574 3.3574 41.2810 Å, 90.00 90.00 120.00°
Closest atoms and distances in Å follow each position.
Space group R-3m (No. 166, hexagonal axes)
Asymmetric unit:
Ho  0.0000  0.0000  0.2012  9 Ho 3.36-3.45, 3 Mg 3.44
Mg  0.0000  0.0000  0.0000  12 Mg 3.26-3.36
Mg  0.0000  0.0000  0.3967  9 Mg 3.26-3.36, 3 Ho 3.44

*two*
# Ho2Mg3

A relaxed structure of Ho2Mg3 (PBE, Alexandria).

N(E_F) in states/eV/f.u.: 4.5

Cell: 3.7396 3.7396 18.6735 Å, 90.00 90.00 90.00°
Closest atoms and distances in Å follow each position.
Space group P4/mmm (No. 123)
Asymmetric unit:
Ho  0.0000  0.0000  0.1020  8 Mg 3.24-3.26
Ho  0.0000  0.0000  0.3023  8 Mg 3.24-3.32
Mg  0.0000  0.0000  0.5000  8 Mg 3.14
Mg  0.5000  0.5000  0.0000  8 Ho 3.26
Mg  0.5000  0.5000  0.2024  8 Ho 3.24
Mg  0.5000  0.5000  0.4096  5 Mg 3.14-3.38, 4 Ho 3.32

Which of them is most stable? Easy: *two*.

*one*
# HoMg6

A relaxed structure of HoMg6 (PBE, Alexandria).

N(E_F) in states/eV/f.u.: 4.7

Cell: 7.7017 7.7017 7.7017 Å, 90.00 90.00 90.00°
Closest atoms and distances in Å follow each position.
Space group Im-3m (No. 229)
Asymmetric unit:
Ho  0.0000  0.0000  0.0000  24 Mg 4.31
Mg  0.0000  0.2500  0.5000  4 Mg 2.72

*two*
# HoMg6

A relaxed structure of HoMg6 (PBE, Alexandria).

N(E_F) in states/eV/f.u.: 4.0

Cell: 9.4417 5.9608 12.1327 Å, 90.00 90.00 90.00°
Closest atoms and distances in Å follow each position.
Space group Pnma (No. 62)
Asymmetric unit:
Ho  0.2467  0.2500  0.0667  11 Mg 3.38-3.69
Mg  0.0558  0.7500  0.0845  5 Mg 2.94-3.15
Mg  0.0629  0.0113  0.3079  9 Mg 2.85-3.18
Mg  0.0965  0.2500  0.5197  6 Mg 2.95-3.21
Mg  0.1417  0.7500  0.8513  8 Mg 2.94-3.24
Mg  0.1920  0.2500  0.7542  7 Mg 2.87-3.15

Which of them is most stable? Easy: *two*.

*one*
# Nd2Ho2Mg

A relaxed structure of Nd2Ho2Mg (PBE, Alexandria).

N(E_F) in states/eV/f.u.: 7.9

Cell: 18.1344 6.1816 5.6209 Å, 90.00 90.00 90.00°
Closest atoms and distances in Å follow each position.
Space group Cmcm (No. 63)
Asymmetric unit:
Nd  0.0961  0.1869  0.2500  4 Mg 3.42-3.63, 3 Nd 3.48-3.64, 5 Ho 3.55-3.79
Ho  0.2052  0.3360  0.7500  6 Ho 3.42-3.49, 5 Nd 3.55-3.79, 1 Mg 3.72
Mg  0.0000  0.3289  0.7500  8 Nd 3.42-3.63, 2 Mg 3.52, 2 Ho 3.72

*two*
# Nd2Ho2Mg

A relaxed structure of Nd2Ho2Mg (PBE, Alexandria).

N(E_F) in states/eV/f.u.: 7.0

Cell: 4.4077 4.4077 17.6475 Å, 90.00 90.00 90.00°
Closest atoms and distances in Å follow each position.
Space group I4/mmm (No. 139)
Asymmetric unit:
Nd  0.0000  0.0000  0.0926  1 Nd 3.27, 4 Mg 3.52, 4 Ho 3.55
Ho  0.0000  0.5000  0.2500  4 Ho 3.12
Mg  0.0000  0.0000  0.5000  8 Nd 3.52

Which of them is most stable? Easy: *one*.

*one*
# Nd3Ho3Mg

A relaxed structure of Nd3Ho3Mg (PBE, Alexandria).

N(E_F) in states/eV/f.u.: 11.3

Cell: 9.5718 9.5718 5.6529 Å, 90.00 90.00 120.00°
Closest atoms and distances in Å follow each position.
Space group P6_3/m (No. 176)
Asymmetric unit:
Nd  0.1019  0.4712  0.2500  3 Mg 3.50-3.69, 5 Ho 3.51-3.78, 4 Nd 3.58-3.63
Ho  0.0524  0.2339  0.7500  6 Ho 3.48-3.52, 5 Nd 3.51-3.78, 1 Mg 3.64
Mg  0.3333  0.6667  0.7500  9 Nd 3.50-3.69, 3 Ho 3.64

*two*
# Nd3Ho3Mg

A relaxed structure of Nd3Ho3Mg (PBE, Alexandria).

N(E_F) in states/eV/f.u.: 9.7

Cell: 6.2353 6.2353 42.1111 Å, 90.00 90.00 120.00°
Closest atoms and distances in Å follow each position.
Space group R-3 (No. 148, hexagonal axes)
Asymmetric unit:
Nd  0.0002  0.3331  0.0649  2 Mg 3.43, 3 Ho 3.54, 6 Nd 3.60
Ho  0.0002  0.3330  0.8670  9 Ho 3.51-3.60, 3 Nd 3.54
Mg  0.0000  0.0000  0.3334  6 Nd 3.43, 3 Mg 3.60

Which of them is most stable? Easy: *one*.

*one*
# Nd4HoMg

A relaxed structure of Nd4HoMg (PBE, Alexandria).

N(E_F) in states/eV/f.u.: 7.1

Cell: 3.6794 3.6794 14.4828 Å, 90.00 90.00 90.00°
Closest atoms and distances in Å follow each position.
Space group P4/mmm (No. 123)
Asymmetric unit:
Nd  0.0000  0.0000  0.1517  4 Mg 3.40, 8 Nd 3.64-3.68
Nd  0.5000  0.5000  0.3273  4 Ho 3.61, 8 Nd 3.64-3.68
Ho  0.0000  0.0000  0.5000  8 Nd 3.61, 4 Ho 3.68
Mg  0.5000  0.5000  0.0000  8 Nd 3.40, 4 Mg 3.68

*two*
# Nd4HoMg

A relaxed structure of Nd4HoMg (PBE, Alexandria).

N(E_F) in states/eV/f.u.: 8.8

Cell: 10.5234 13.4737 6.5804 Å, 90.00 122.20 90.00°
Closest atoms and distances in Å follow each position.
Space group C2/c (No. 15)
Asymmetric unit:
Nd  0.1647  0.0658  0.2312  1 Mg 3.48, 1 Ho 3.53, 9 Nd 3.53-3.80
Nd  0.1704  0.1964  0.7252  2 Ho 3.38-3.45, 6 Nd 3.39-3.77, 2 Mg 3.40-3.62
Ho  0.0000  0.3522  0.2500  3 Mg 3.25-3.37, 6 Nd 3.38-3.53
Mg  0.0000  0.4065  0.7500  3 Ho 3.25-3.37, 6 Nd 3.40-3.62

Which of them is most stable? Easy: *one*.

*one*
# Nd3HoMg

A relaxed structure of Nd3HoMg (PBE, Alexandria).

N(E_F) in states/eV/f.u.: 7.9

Cell: 3.8468 10.6772 8.2160 Å, 90.00 90.00 90.00°
Closest atoms and distances in Å follow each position.
Space group Pmmn (No. 59, origin choice 2)
Asymmetric unit:
Nd  0.2500  0.0027  0.2342  2 Mg 3.31, 3 Ho 3.58-3.60, 2 Nd 3.69
Nd  0.2500  0.7500  0.5557  1 Ho 3.19, 2 Mg 3.21
Ho  0.2500  0.7500  0.9444  2 Mg 3.12, 1 Nd 3.19
Mg  0.2500  0.2500  0.7568  2 Ho 3.12, 6 Nd 3.21-3.31

*two*
# Nd3HoMg

A relaxed structure of Nd3HoMg (PBE, Alexandria).

N(E_F) in states/eV/f.u.: 7.2

Cell: 22.7601 3.5521 8.5857 Å, 90.00 108.27 90.00°
Closest atoms and distances in Å follow each position.
Space group C2/m (No. 12)
Asymmetric unit:
Nd  0.0173  0.0000  0.2238  4 Mg 3.47-3.55, 8 Nd 3.51-3.71
Nd  0.1216  0.5000  0.0356  8 Nd 3.55-3.76, 1 Mg 3.56, 3 Ho 3.58-3.61
Nd  0.1762  0.0000  0.4423  3 Ho 3.47-3.57, 2 Mg 3.48, 7 Nd 3.51-3.76
Ho  0.2347  0.5000  0.8198  4 Ho 3.44-3.55, 6 Nd 3.47-3.61, 1 Mg 3.52
Mg  0.0759  0.5000  0.5988  3 Mg 3.34-3.55, 7 Nd 3.47-3.56, 1 Ho 3.52

Which of them is most stable? Easy: *two*.

*one*
# NdHo4Mg2

A relaxed structure of NdHo4Mg2 (PBE, Alexandria).

N(E_F) in states/eV/f.u.: 7.1

Cell: 3.5198 34.6937 3.4798 Å, 90.00 90.00 90.00°
Closest atoms and distances in Å follow each position.
Space group Cmmm (No. 65)
Asymmetric unit:
Nd  0.0000  0.0000  0.0000  4 Nd 3.48-3.52, 8 Ho 3.61
Ho  0.0000  0.1473  0.0000  4 Mg 3.37, 8 Ho 3.48-3.52
Ho  0.0000  0.4242  0.5000  8 Ho 3.48-3.52, 4 Nd 3.61
Mg  0.0000  0.2867  0.5000  2 Mg 3.10, 4 Ho 3.37

*two*
# NdHo4Mg2

A relaxed structure of NdHo4Mg2 (PBE, Alexandria).

N(E_F) in states/eV/f.u.: 9.9

Cell: 5.5267 5.5267 15.9597 Å, 90.00 90.00 90.00°
Closest atoms and distances in Å follow each position.
Space group I4/mmm (No. 139)
Asymmetric unit:
Nd  0.0000  0.0000  0.0000  6 Ho 2.76-2.99
Ho  0.0000  0.0000  0.1871  1 Nd 2.99, 1 Mg 3.21
Ho  0.0000  0.5000  0.0000  2 Nd 2.76
Mg  0.0000  0.0000  0.3880  5 Ho 3.21-3.29, 1 Mg 3.58

Which of them is most stable? Easy: *one*.